A plane-wave DFT calculation with PBE was carried out for a relaxed structure of La2Nd5Th2.

Computed properties:
Its calculated density is 7.75 g cm⁻³. The calculation puts the electronic total energy at -5.34 eV per atom.

abc: 6.3402 6.3546 8.2074
angles: 74.99 82.93 80.22
Last column: nearest neighbours and their distance in Å.
Fractional coordinates of all 9 atoms:
La  0.0532  0.2784  0.3911  2 La 3.64-3.66, 7 Nd 3.65-3.72, 3 Th 3.67-3.69
La  0.9468  0.7216  0.6089  2 La 3.64-3.66, 7 Nd 3.65-3.72, 3 Th 3.67-3.69
Nd  0.2763  0.3843  0.9472  6 Nd 3.58-3.72, 4 Th 3.61-3.71, 2 La 3.67-3.68
Nd  0.3871  0.9507  0.7314  6 Nd 3.58-3.82, 3 Th 3.58-3.66, 3 La 3.68-3.72
Nd  0.5000  0.5000  0.5000  4 La 3.65-3.67, 6 Nd 3.66-3.76, 2 Th 3.71
Nd  0.6129  0.0493  0.2686  6 Nd 3.58-3.82, 3 Th 3.58-3.66, 3 La 3.68-3.72
Nd  0.7237  0.6157  0.0528  6 Nd 3.58-3.72, 4 Th 3.61-3.71, 2 La 3.67-3.68
Th  0.1589  0.8379  0.1629  1 Th 3.54, 8 Nd 3.58-3.71, 3 La 3.67-3.69
Th  0.8411  0.1621  0.8371  1 Th 3.54, 8 Nd 3.58-3.71, 3 La 3.67-3.69